<w>
VASP calculation (PBE) on KSr2Br5 after structural relaxation.

Summary:
SG ... P2_1/c (14)
Crystal system ... monoclinic

a = 8.413 Å, b = 9.414 Å, c = 13.572 Å
α = 90.04°, β = 90.00°, γ = 90.00°
Element x y z (fractional)
K  0.461  0.491  0.828
K  0.539  0.509  0.172
K  0.961  0.509  0.672
K  0.039  0.491  0.328
Sr  0.478  0.998  0.822
Sr  0.522  0.002  0.178
Sr  0.978  0.002  0.678
Sr  0.022  0.998  0.322
Sr  0.433  0.750  0.505
Sr  0.567  0.250  0.495
Sr  0.933  0.250  0.995
Sr  0.067  0.750  0.005
Br  0.332  0.465  0.591
Br  0.668  0.535  0.409
Br  0.832  0.535  0.909
Br  0.168  0.465  0.091
Br  0.671  0.782  0.682
Br  0.329  0.218  0.318
Br  0.171  0.218  0.818
Br  0.829  0.782  0.182
Br  0.193  0.770  0.785
Br  0.807  0.230  0.215
Br  0.693  0.230  0.715
Br  0.307  0.770  0.285
Br  0.046  0.783  0.502
Br  0.954  0.217  0.498
Br  0.546  0.217  0.998
Br  0.454  0.783  0.002
Br  0.840  0.962  0.899
Br  0.160  0.038  0.101
Br  0.340  0.038  0.601
Br  0.660  0.962  0.399

<x>
VASP calculation (PBE) on KSr2Br5 after structural relaxation.

Summary:
SG ... Immm (71)
Crystal system ... orthorhombic

a = 4.675 Å, b = 7.723 Å, c = 9.254 Å
α = 114.66°, β = 104.63°, γ = 90.00°
Element x y z (fractional)
K  0.000  0.000  0.000
Sr  0.185  0.685  0.371
Sr  0.815  0.315  0.629
Br  0.000  0.500  0.000
Br  0.654  0.389  0.308
Br  0.346  0.611  0.692
Br  0.654  0.918  0.308
Br  0.346  0.082  0.692

Each structure's energy above the most stable one, in meV per atom: <w> 0; <x> 40.

<w>
VASP calculation (PBE) on KSrBr after structural relaxation.

Summary:
SG ... Fmm2 (42)
Crystal system ... orthorhombic

a = 9.060 Å, b = 8.600 Å, c = 4.305 Å
α = 81.93°, β = 70.01°, γ = 28.06°
Element x y z (fractional)
Br  0.995  0.995  0.005
K  0.643  0.643  0.357
Sr  0.361  0.361  0.639

<x>
VASP calculation (PBE) on KSrBr after structural relaxation.

Summary:
SG ... P3m1 (156)
Crystal system ... trigonal

a = 4.392 Å, b = 4.392 Å, c = 8.072 Å
α = 90.00°, β = 90.00°, γ = 120.00°
Element x y z (fractional)
Br  0.000  0.000  0.993
K  0.667  0.333  0.280
Sr  0.333  0.667  0.726

<y>
VASP calculation (PBE) on KSrBr after structural relaxation.

Summary:
SG ... P4/nmm (129)
Crystal system ... tetragonal

a = 5.292 Å, b = 5.292 Å, c = 11.207 Å
α = 90.00°, β = 90.00°, γ = 90.00°
Element x y z (fractional)
Br  0.000  0.000  0.000
Br  0.500  0.500  0.000
K  0.000  0.500  0.407
K  0.500  0.000  0.593
Sr  0.000  0.500  0.842
Sr  0.500  0.000  0.158

Each structure's energy above the most stable one, in meV per atom: <w> 41; <x> 0; <y> 66.

<w>
VASP calculation (PBE) on KSrBr after structural relaxation.

Summary:
SG ... F-43m (216)
Crystal system ... cubic

a = 5.665 Å, b = 5.665 Å, c = 5.665 Å
α = 60.00°, β = 60.00°, γ = 60.00°
Element x y z (fractional)
Br  0.750  0.750  0.750
K  0.000  0.000  0.000
Sr  0.500  0.500  0.500

<x>
VASP calculation (PBE) on KSrBr after structural relaxation.

Summary:
SG ... I4mm (107)
Crystal system ... tetragonal

a = 8.298 Å, b = 8.298 Å, c = 8.298 Å
α = 151.74°, β = 151.74°, γ = 40.39°
Element x y z (fractional)
Br  0.992  0.992  0.000
K  0.644  0.644  0.000
Sr  0.364  0.364  0.000

Each structure's energy above the most stable one, in meV per atom: <w> 213; <x> 0.

<w>
VASP calculation (PBE) on K2Sr2Br after structural relaxation.

Summary:
SG ... P4/mbm (127)
Crystal system ... tetragonal

a = 8.592 Å, b = 8.592 Å, c = 7.786 Å
α = 90.00°, β = 90.00°, γ = 90.00°
Element x y z (fractional)
Sr  0.330  0.830  0.000
Sr  0.830  0.670  0.000
Sr  0.670  0.170  0.000
Sr  0.170  0.330  0.000
K  0.163  0.663  0.500
K  0.663  0.837  0.500
K  0.837  0.337  0.500
K  0.337  0.163  0.500
Br  0.000  0.000  0.000
Br  0.500  0.500  0.000

<x>
VASP calculation (PBE) on K2Sr2Br after structural relaxation.

Summary:
SG ... P4/mbm (127)
Crystal system ... tetragonal

a = 8.543 Å, b = 8.543 Å, c = 8.022 Å
α = 90.00°, β = 90.00°, γ = 90.00°
Element x y z (fractional)
Sr  0.173  0.673  0.500
Sr  0.673  0.827  0.500
Sr  0.827  0.327  0.500
Sr  0.327  0.173  0.500
K  0.330  0.830  0.000
K  0.830  0.670  0.000
K  0.670  0.170  0.000
K  0.170  0.330  0.000
Br  0.000  0.000  0.000
Br  0.500  0.500  0.000

Each structure's energy above the most stable one, in meV per atom: <w> 0; <x> 69.

<w>
VASP calculation (PBE) on K2SrBr4 after structural relaxation.

Summary:
SG ... I4/mmm (139)
Crystal system ... tetragonal

a = 5.950 Å, b = 5.950 Å, c = 9.499 Å
α = 71.75°, β = 71.75°, γ = 90.00°
Element x y z (fractional)
Sr  0.000  0.000  0.000
K  0.361  0.361  0.279
K  0.639  0.639  0.721
Br  0.176  0.176  0.649
Br  0.824  0.824  0.351
Br  0.000  0.500  0.000
Br  0.500  0.000  0.000

<x>
VASP calculation (PBE) on K2SrBr4 after structural relaxation.

Summary:
SG ... C2/m (12)
Crystal system ... monoclinic

a = 4.615 Å, b = 8.597 Å, c = 8.923 Å
α = 124.71°, β = 104.99°, γ = 90.00°
Element x y z (fractional)
K  0.696  0.710  0.393
K  0.304  0.290  0.607
Sr  0.000  0.000  0.000
Br  0.893  0.179  0.787
Br  0.107  0.821  0.213
Br  0.638  0.263  0.277
Br  0.362  0.737  0.723

Each structure's energy above the most stable one, in meV per atom: <w> 53; <x> 0.

<w>
VASP calculation (PBE) on K2TaBr after structural relaxation.

Summary:
SG ... C2/m (12)
Crystal system ... monoclinic

a = 3.424 Å, b = 3.424 Å, c = 11.453 Å
α = 81.47°, β = 81.47°, γ = 59.94°
Each line ends with the local moment (μB).
Element x y z (fractional)
Br  0.250  0.250  0.250  0.00
K  0.987  0.987  0.038  0.01
K  0.513  0.513  0.462  0.01
Ta  0.750  0.750  0.750  0.30

<x>
VASP calculation (PBE) on K2TaBr after structural relaxation.

Summary:
SG ... I-42d (122)
Crystal system ... tetragonal

a = 12.274 Å, b = 12.274 Å, c = 9.046 Å
α = 47.28°, β = 47.28°, γ = 90.00°
Each line ends with the local moment (μB).
Element x y z (fractional)
K  0.474  0.125  0.250  0.02
K  0.276  0.625  0.250  0.02
K  0.375  0.526  0.750  0.02
K  0.875  0.724  0.750  0.02
Br  0.500  0.500  0.000  0.00
Br  0.250  0.750  0.500  0.00
Ta  0.000  0.000  0.000  2.01
Ta  0.750  0.250  0.500  2.01

Each structure's energy above the most stable one, in meV per atom: <w> 0; <x> 377.

<w>
VASP calculation (PBE) on K2Ta2Br after structural relaxation.

Summary:
SG ... I4/mmm (139)
Crystal system ... tetragonal

a = 4.678 Å, b = 4.678 Å, c = 8.606 Å
α = 74.23°, β = 74.23°, γ = 90.00°
Element x y z (fractional)
K  0.750  0.250  0.500
K  0.250  0.750  0.500
Br  0.000  0.000  0.000
Ta  0.430  0.430  0.140
Ta  0.570  0.570  0.860

<x>
VASP calculation (PBE) on K2Ta2Br after structural relaxation.

Summary:
SG ... P4/mbm (127)
Crystal system ... tetragonal

a = 10.580 Å, b = 10.580 Å, c = 3.183 Å
α = 90.00°, β = 90.00°, γ = 90.00°
Element x y z (fractional)
K  0.210  0.710  0.500
K  0.710  0.790  0.500
K  0.790  0.290  0.500
K  0.290  0.210  0.500
Br  0.000  0.000  0.000
Br  0.500  0.500  0.000
Ta  0.424  0.924  0.000
Ta  0.924  0.576  0.000
Ta  0.576  0.076  0.000
Ta  0.076  0.424  0.000

Each structure's energy above the most stable one, in meV per atom: <w> 532; <x> 0.

<w>
VASP calculation (PBE) on KTcBr after structural relaxation.

Summary:
SG ... F-43m (216)
Crystal system ... cubic

a = 5.121 Å, b = 5.121 Å, c = 5.121 Å
α = 60.00°, β = 60.00°, γ = 60.00°
Each line ends with the local moment (μB).
Element x y z (fractional)
Br  0.750  0.750  0.750  0.07
K  0.000  0.000  0.000  0.00
Tc  0.500  0.500  0.500  3.15

<x>
VASP calculation (PBE) on KTcBr after structural relaxation.

Summary:
SG ... P-6m2 (187)
Crystal system ... hexagonal

a = 4.446 Å, b = 4.446 Å, c = 5.224 Å
α = 90.00°, β = 90.00°, γ = 120.00°
Each line ends with the local moment (μB).
Element x y z (fractional)
Br  0.000  0.000  0.833  0.05
K  0.667  0.333  0.333  0.00
Tc  0.333  0.667  0.833  2.34

Each structure's energy above the most stable one, in meV per atom: <w> 317; <x> 0.